Entry from Alexandria via LeMat-Bulk: a relaxed structure of Li3Tl2SnI8 (PBE).

The value obtained for the total energy is -111.3 eV per cell. As for the energy relative to the elements, uncorrected: -729 meV per atom.

The structure belongs to space group R3m (No. 160, hexagonal axes); the cell edges are 9.0692, 9.0692 and 24.0410 Å and the angles 90.00°, 90.00° and 120.00°. Symmetry generates all atoms from Li at (0.1718, 0.3435, 0.0000), Tl at (0.0000, 0.0000, 0.1737), Tl at (0.0000, 0.0000, 0.5375), Sn at (0.0000, 0.0000, 0.8058), I at (0.0000, 0.0000, 0.4000), I at (0.0000, 0.0000, 0.9546), I at (0.0088, 0.5044, 0.4122) and I at (0.0153, 0.5076, 0.9372).

***

Entry from Alexandria via LeMat-Bulk: a relaxed structure of Ti2InIr (PBE).

For the formation energy from the elements, the calculation gives -0.073 eV per atom. The value obtained for the total energy is -110.7 eV per cell.

The structure belongs to space group I-42d (No. 122); the cell edges are 7.420, 7.420 and 5.580 Å and the angles 90.00°, 90.00° and 90.00°. Symmetry generates all atoms from Ti at (0.197, 0.250, 0.125), In at (0.000, 0.000, 0.500) and Ir at (0.000, 0.000, 0.000).

***

Entry from Alexandria via LeMat-Bulk: a relaxed structure of CuNiSe2N (PBE).

The value obtained for the total energy is -19.9 eV per cell. As for the energy relative to the elements, uncorrected: 1062 meV per atom.

The structure belongs to space group P4/mmm (No. 123); the cell edges are 4.911, 4.911 and 3.483 Å and the angles 90.00°, 90.00° and 90.00°. Symmetry generates all atoms from Cu at (0.000, 0.000, 0.000), Ni at (0.500, 0.500, 0.500), Se at (0.000, 0.500, 0.000) and N at (0.000, 0.000, 0.500).

***

Entry from Alexandria via LeMat-Bulk: a relaxed structure of HfMg6AlO8 (PBE).

The value obtained for the total energy is -101.1 eV per cell. As for the energy relative to the elements, uncorrected: -2387 meV per atom.

The structure belongs to space group P4/mmm (No. 123); the cell edges are 4.145, 4.145 and 11.821 Å and the angles 90.00°, 90.00° and 90.00°. Symmetry generates all atoms from Hf at (0.000, 0.000, 0.000), Mg at (0.000, 0.500, 0.309), Mg at (0.500, 0.500, 0.000), Mg at (0.500, 0.500, 0.500), Al at (0.000, 0.000, 0.500), O at (0.000, 0.000, 0.344), O at (0.000, 0.500, 0.000), O at (0.000, 0.500, 0.500) and O at (0.500, 0.500, 0.316).

***

Entry from Alexandria via LeMat-Bulk: a relaxed structure of CaGa9Ir2 (PBE).

For the formation energy from the elements, the calculation gives -0.288 eV per atom. The value obtained for the total energy is -201.7 eV per cell.

The structure belongs to space group I4_1/amd (No. 141, origin choice 2); the cell edges are 10.560, 10.560 and 7.564 Å and the angles 90.00°, 90.00° and 90.00°. Symmetry generates all atoms from Ca at (0.000, 0.250, 0.375), Ga at (0.000, 0.250, 0.875), Ga at (0.121, 0.045, 0.683) and Ir at (0.000, 0.000, 0.000).

***

Entry from Alexandria via LeMat-Bulk: a relaxed structure of Lu2CrCu (PBE).

For the formation energy from the elements, the calculation gives 0.027 eV per atom. The value obtained for the total energy is -22.7 eV per cell.

The structure belongs to space group P4/mmm (No. 123); the cell edges are 3.411, 3.411 and 6.909 Å and the angles 90.00°, 90.00° and 90.00°. Symmetry generates all atoms from Lu at (0.000, 0.000, 0.246), Cr at (0.500, 0.500, 0.500) and Cu at (0.500, 0.500, 0.000).

***

Entry from Alexandria via LeMat-Bulk: a relaxed structure of Li2LaIn2Ag2 (PBE).

For the formation energy from the elements, the calculation gives -0.341 eV per atom. The value obtained for the total energy is -44.6 eV per cell.

The structure belongs to space group C2/m (No. 12); the cell edges are 8.416, 4.847 and 8.039 Å and the angles 90.00°, 109.99° and 90.00°. Symmetry generates all atoms from Li at (0.146, 0.000, 0.440), La at (0.000, 0.000, 0.000), In at (0.071, 0.500, 0.710) and Ag at (0.238, 0.500, 0.218).

***

Entry from Alexandria via LeMat-Bulk: a relaxed structure of Sr3Nd2UN6 (PBE).

The value obtained for the total energy is -180.3 eV per cell. As for the energy relative to the elements, uncorrected: -1195 meV per atom.

The structure belongs to space group C2/m (No. 12); the cell edges are 6.313, 10.931 and 6.406 Å and the angles 90.00°, 109.26° and 90.00°. Symmetry generates all atoms from Sr at (0.000, 0.000, 0.000), Sr at (0.000, 0.335, 0.000), Nd at (0.000, 0.167, 0.500), U at (0.000, 0.500, 0.500), N at (0.219, 0.351, 0.709) and N at (0.228, 0.500, 0.294).